# TbPrZnGe

Crystalline TbPrZnGe at its relaxed geometry (PBE-GGA, the Alexandria database).

Lattice parameters (Å, degrees): 4.281 4.150 6.028 90.00 110.80 90.00
Element x y z (fractional)
Zn (0.569, 0.500, 0.137)
Tb (0.862, 0.500, 0.724)
Pr (0.145, 0.000, 0.291)
Ge (0.424, 0.000, 0.848)

Output
ΔH_f (0 K) ... -0.59 eV/atom
Offset from the most stable computed form ... 0.000 eV per atom

---

# FeNi2Os

Crystalline FeNi2Os at its relaxed geometry (PBE-GGA, the Alexandria database).

Lattice parameters (Å, degrees): 4.047 4.047 4.047 60.00 60.00 60.00
Element x y z (fractional)
Ni (0.750, 0.750, 0.750)
Ni (0.250, 0.250, 0.250)
Fe (0.000, 0.000, 0.000)
Os (0.500, 0.500, 0.500)

Output
ΔH_f (0 K) ... 0.36 eV/atom
Offset from the most stable computed form ... 0.295 eV per atom

---

# Cs4TbPr3Se8

Crystalline Cs4TbPr3Se8 at its relaxed geometry (PBE-GGA, the Alexandria database).

Lattice parameters (Å, degrees): 8.796 9.827 8.796 116.61 120.00 90.00
Element x y z (fractional)
Pr (0.500, 0.500, 0.000)
Pr (0.500, 0.500, 0.500)
Pr (0.000, 0.500, 0.500)
Cs (0.500, 0.000, 0.000)
Cs (0.000, 0.000, 0.500)
Cs (0.500, 0.000, 0.500)
Cs (0.000, 0.000, 0.000)
Se (0.738, 0.689, 0.964)
Se (0.226, 0.689, 0.964)
Se (0.269, 0.307, 0.538)
Se (0.731, 0.693, 0.462)
Se (0.262, 0.311, 0.036)
Se (0.226, 0.689, 0.452)
Se (0.774, 0.311, 0.548)
Se (0.774, 0.311, 0.036)
Tb (0.000, 0.500, 0.000)

Output
Uncorrected formation energy ... -1725.6 meV per atom

---

# ReRuRh2

Crystalline ReRuRh2 at its relaxed geometry (PBE-GGA, the Alexandria database).

Lattice parameters (Å, degrees): 3.294 3.294 5.404 90.00 90.00 90.00
Element x y z (fractional)
Re (0.500, 0.500, 0.750)
Rh (0.000, 0.000, 0.501)
Rh (0.000, 0.000, 0.999)
Ru (0.500, 0.500, 0.250)

Output
ΔH_f (0 K) ... 0.35 eV/atom
Offset from the most stable computed form ... 0.434 eV per atom

---

# NdY6Ho3Tm2

Crystalline NdY6Ho3Tm2 at its relaxed geometry (PBE-GGA, the Alexandria database).

Lattice parameters (Å, degrees): 6.152 6.152 11.791 94.97 94.97 119.95
Element x y z (fractional)
Nd (0.000, 0.000, 0.000)
Tm (0.667, 0.333, 0.000)
Tm (0.333, 0.667, 0.000)
Ho (0.833, 0.167, 0.500)
Ho (0.500, 0.500, 0.500)
Ho (0.167, 0.833, 0.500)
Y (0.916, 0.582, 0.749)
Y (0.582, 0.916, 0.749)
Y (0.250, 0.250, 0.749)
Y (0.418, 0.084, 0.251)
Y (0.750, 0.750, 0.251)
Y (0.084, 0.418, 0.251)

Output
ΔH_f (0 K) ... 0.02 eV/atom

---

# Cs2AsPdCl6

Crystalline Cs2AsPdCl6 at its relaxed geometry (PBE-GGA, the Alexandria database).

Lattice parameters (Å, degrees): 7.313 7.313 7.293 59.91 59.91 90.00
Element x y z (fractional)
Cl (0.748, 0.748, 0.504)
Cl (0.747, 0.253, 0.000)
Cl (0.747, 0.747, 0.000)
Cl (0.253, 0.747, 0.000)
Cl (0.253, 0.253, 0.000)
Cl (0.252, 0.252, 0.496)
Cs (0.750, 0.250, 0.500)
Cs (0.250, 0.750, 0.500)
As (0.500, 0.500, 0.000)
Pd (0.000, 0.000, 0.000)

Output
Uncorrected formation energy ... -1115.4 meV per atom

---

# AsPtSe2S

Crystalline AsPtSe2S at its relaxed geometry (PBE-GGA, the Alexandria database).

Lattice parameters (Å, degrees): 5.001 5.001 4.799 90.00 90.00 90.00
Element x y z (fractional)
Pt (0.000, 0.000, 0.000)
As (0.000, 0.000, 0.500)
Se (0.500, 0.000, 0.000)
Se (0.000, 0.500, 0.000)
S (0.500, 0.500, 0.500)

Output
Offset from the most stable computed form ... 0.000 eV per atom
Uncorrected formation energy ... 784.6 meV per atom

---

# Sm5Co2Au

Crystalline Sm5Co2Au at its relaxed geometry (PBE-GGA, the Alexandria database).

Lattice parameters (Å, degrees): 7.674 7.674 8.629 116.40 116.40 90.00
Element x y z (fractional)
Co (0.630, 0.130, 0.000)
Co (0.370, 0.870, 0.000)
Co (0.130, 0.370, 0.000)
Co (0.870, 0.630, 0.000)
Sm (0.201, 0.029, 0.731)
Sm (0.971, 0.471, 0.269)
Sm (0.799, 0.971, 0.269)
Sm (0.500, 0.500, 0.000)
Sm (0.299, 0.799, 0.269)
Sm (0.000, 0.000, 0.000)
Sm (0.529, 0.701, 0.731)
Sm (0.701, 0.201, 0.731)
Sm (0.471, 0.299, 0.269)
Sm (0.029, 0.529, 0.731)
Au (0.250, 0.250, 0.500)
Au (0.750, 0.750, 0.500)

Output
ΔH_f (0 K) ... -0.29 eV/atom

---

Number 1: ρ 7263 kg/m³, magnetization 0.1 μB/f.u.. Number 2: ρ 12877 kg/m³, magnetization 0.0 μB/f.u.. Number 3: ρ 5141 kg/m³, magnetization 0.0 μB/f.u.. Number 4: ρ 13967 kg/m³, magnetization 0.3 μB/f.u.. Number 5: ρ 6586 kg/m³, magnetization 0.0 μB/f.u.. Number 6: ρ 3984 kg/m³, magnetization 0.0 μB/f.u.. Number 7: ρ 6365 kg/m³, magnetization 0.0 μB/f.u.. Number 8: ρ 8965 kg/m³, magnetization 0.0 μB/f.u..